# CePmUO6

Crystalline CePmUO6 at its relaxed geometry (PBE, Alexandria).

abc: 5.923 5.923 9.453
angles: 90.00 90.00 120.00
Fractional coordinates of all 18 atoms:
Ce: 0.000 0.000 0.000
Ce: 0.000 0.000 0.500
Pm: 0.333 0.667 0.250
Pm: 0.667 0.333 0.750
U: 0.333 0.667 0.750
U: 0.667 0.333 0.250
O: 0.030 0.357 0.633
O: 0.030 0.673 0.867
O: 0.327 0.357 0.867
O: 0.327 0.970 0.633
O: 0.357 0.030 0.133
O: 0.357 0.327 0.367
O: 0.643 0.673 0.633
O: 0.643 0.970 0.867
O: 0.673 0.030 0.367
O: 0.673 0.643 0.133
O: 0.970 0.327 0.133
O: 0.970 0.643 0.367

Results
Mass density (Mg/m³): 7.16
D(E_F) (states/eV per cell): 11.79
Space group: P-31c, No. 163
VASP energy (eV/atom): -9.0297
E_form (uncorrected) (eV per formula unit): -29.546